# USiAg

A relaxed USiAg crystal (PBE, OQMD via LeMat-Bulk).

Computed properties:
space group	F-43m, No. 216
total DFT energy (no corrections)	-18.6	eV per formula unit
total moment	3.00	μB per formula unit

a = 6.4953 Å, b = 6.4953 Å, c = 6.4953 Å
α = 90.00°, β = 90.00°, γ = 90.00°
Atoms (fractional coordinates):
1 U 0.0000 0.0000 0.0000
2 U 0.0000 0.5000 0.5000
3 U 0.5000 0.0000 0.5000
4 U 0.5000 0.5000 0.0000
5 Si 0.2500 0.2500 0.7500
6 Si 0.2500 0.7500 0.2500
7 Si 0.7500 0.2500 0.2500
8 Si 0.7500 0.7500 0.7500
9 Ag 0.0000 0.0000 0.5000
10 Ag 0.0000 0.5000 0.0000
11 Ag 0.5000 0.0000 0.0000
12 Ag 0.5000 0.5000 0.5000